No. 1
A plane-wave DFT calculation with GGA-PBE was carried out for a relaxed LiY2GaS5 crystal.

Final energy ... -52.41 eV/f.u.
Symmetry ... Cmc2_1, No. 36
Calculated density ... 3.89 Mg/m³
ΔE_f (raw) ... -1.545 eV/atom

```
LiY2GaS5
1.0
3.7710 0.0000 0.0000
-1.8855 8.3762 0.0000
0.0000 -0.0001 11.2223
Li Y Ga S
2 4 2 10
Direct
0.7865 0.5730 0.5187
0.2135 0.4270 0.0187
0.8658 0.7316 0.8040
0.1220 0.2439 0.6802
0.1342 0.2684 0.3040
0.8780 0.7561 0.1802
0.5664 0.1327 0.9552
0.4336 0.8673 0.4552
0.3578 0.7155 0.9996
0.6836 0.3672 0.8492
0.4980 0.9959 0.7796
0.2917 0.5833 0.6699
0.9568 0.9136 0.5676
0.6422 0.2845 0.4996
0.3164 0.6328 0.3493
0.5020 0.0041 0.2796
0.7083 0.4167 0.1699
0.0432 0.0864 0.0676
```

No. 2
A plane-wave DFT calculation with GGA-PBE was carried out for a relaxed HfNi2RhC crystal.

Final energy ... -28.63 eV/f.u.
DFT formation energy ... 1.8930 eV/atom
Symmetry ... P4/mmm, No. 123
Calculated density ... 7.20 Mg/m³

```
HfNi2RhC
1.0
4.4033 0.0000 0.0000
0.0000 4.8893 0.0000
0.0000 0.0000 4.4033
Rh C Hf Ni
1 1 1 2
Direct
0.0000 0.0000 0.0000
0.5000 0.5000 0.5000
0.0000 0.5000 0.0000
0.0000 0.0000 0.5000
0.5000 0.0000 0.0000
```

No. 3
A plane-wave DFT calculation with GGA-PBE was carried out for a relaxed Mg2CuW crystal.

Final energy ... -17.39 eV/f.u.
DFT formation energy ... 0.7119 eV/atom
Symmetry ... Fm-3m, No. 225
Calculated density ... 7.32 Mg/m³

```
Mg2CuW
1.0
0.0000 3.2254 3.2254
3.2254 0.0000 3.2254
3.2254 3.2254 0.0000
Mg Cu W
2 1 1
Direct
0.2500 0.2500 0.2500
0.7500 0.7500 0.7500
0.0000 0.0000 0.0000
0.5000 0.5000 0.5000
```

No. 4
A plane-wave DFT calculation with GGA-PBE was carried out for a relaxed Dy11Er4Sc9 crystal.

Final energy ... -123.62 eV/f.u.
DFT formation energy ... 0.0932 eV/atom
Symmetry ... Cmmm, No. 65
Calculated density ... 6.87 Mg/m³

```
Dy11Er4Sc9
1.0
3.5423 0.0000 0.0000
0.0000 13.3997 -5.7475
0.0000 -0.0192 14.5803
Dy Er Sc
11 4 9
Direct
0.0000 0.5981 0.9608
0.0000 0.4019 0.0392
0.0000 0.9608 0.5981
0.0000 0.0392 0.4019
0.0000 0.6338 0.3662
0.0000 0.3662 0.6338
0.0000 0.8395 0.1605
0.0000 0.1605 0.8395
0.0000 0.0000 0.0000
0.0000 0.7147 0.7147
0.0000 0.2853 0.2853
0.5000 0.5560 0.7579
0.5000 0.4440 0.2421
0.5000 0.7579 0.5560
0.5000 0.2421 0.4440
0.5000 0.6313 0.1670
0.5000 0.3687 0.8330
0.5000 0.1670 0.6313
0.5000 0.8330 0.3687
0.5000 0.7872 0.9336
0.5000 0.2128 0.0664
0.5000 0.9336 0.7872
0.5000 0.0664 0.2128
0.5000 0.5000 0.5000
```

No. 5
A plane-wave DFT calculation with GGA-PBE was carried out for a relaxed RbBa crystal.

Final energy ... -2.64 eV/f.u.
DFT formation energy ... 0.1241 eV/atom
Symmetry ... I4_1/amd, No. 141
Calculated density ... 2.51 Mg/m³

```
RbBa
1.0
-2.4433 -9.0025 0.8706
1.3709 0.5228 9.2531
-12.7954 3.6361 1.6903
Rb Ba
8 8
Direct
0.0000 0.2500 0.1250
0.0000 0.7500 0.1250
0.7500 0.0000 0.8750
0.7500 0.5000 0.3750
0.2500 0.5000 0.3750
0.2500 0.0000 0.8750
0.5000 0.7500 0.6250
0.5000 0.2500 0.6250
0.0000 0.2500 0.6250
0.0000 0.7500 0.6250
0.7500 0.0000 0.3750
0.7500 0.5000 0.8750
0.2500 0.5000 0.8750
0.2500 0.0000 0.3750
0.5000 0.7500 0.1250
0.5000 0.2500 0.1250
```

No. 6
A plane-wave DFT calculation with GGA-PBE was carried out for a relaxed SrLiEuCd crystal.

Final energy ... -15.41 eV/f.u.
DFT formation energy ... -0.1561 eV/atom
Symmetry ... F-43m, No. 216
Calculated density ... 4.53 Mg/m³

```
SrLiEuCd
1.0
5.7090 0.0000 0.0000
2.8545 4.9441 0.0000
2.8545 1.6480 4.6614
Eu Sr Li Cd
1 1 1 1
Direct
0.5000 0.5000 0.5000
0.0000 0.0000 0.0000
0.7500 0.7500 0.7500
0.2500 0.2500 0.2500
```

Results for size of the total moment: 0.000; 0.365; 0.543; 0.004; 0.000; 1.859 (in μB per atom, following the order of the records).